Er4TmTh5: optimized geometry, PBE.

abc: 3.432 11.079 8.938
angles: 73.05 101.07 90.00
Element x y z (fractional)
1 Er 0.303 0.087 0.607
2 Er 0.906 0.810 0.813
3 Er 0.697 0.913 0.393
4 Er 0.094 0.190 0.187
5 Tm 0.500 0.000 0.000
6 Th 0.803 0.595 0.606
7 Th 0.891 0.293 0.782
8 Th 0.109 0.707 0.218
9 Th 0.500 0.500 0.000
10 Th 0.197 0.405 0.394

- total energy (eV for the cell shown) = -58.52
- formation enthalpy at 0 K (kcal/mol of atoms) = 2.995
- spin magnetization (μB per formula unit) = 0.00
- V (Å³ per cell) = 318.5